# Rb2ScGeTe4, relaxed, DFT GGA-PBE
data_Rb2ScGeTe4
_chemical_formula_sum 'Rb16 Sc8 Ge8 Te32'
_symmetry_space_group_name_H-M 'F d d d'
_symmetry_Int_Tables_number 70
_cell_length_a 6.877
_cell_length_b 15.177
_cell_length_c 26.605
_cell_angle_alpha 90.00
_cell_angle_beta 90.00
_cell_angle_gamma 90.00
loop_
_symmetry_equiv_pos_as_xyz
'x,y,z'
'-x,-y,-z'
'-x+1/4,-y+1/4,z'
'x+1/4,y+1/4,-z'
'x,-y+1/4,-z+1/4'
'-x,y+1/4,z+1/4'
'-x+1/4,y,-z+1/4'
'x+1/4,-y,z+1/4'
'x,y+1/2,z+1/2'
'-x,-y+1/2,-z+1/2'
'-x+1/4,-y+3/4,z+1/2'
'x+1/4,y+3/4,-z+1/2'
'x,-y+3/4,-z+3/4'
'-x,y+3/4,z+3/4'
'-x+1/4,y+1/2,-z+3/4'
'x+1/4,-y+1/2,z+3/4'
'x+1/2,y,z+1/2'
'-x+1/2,-y,-z+1/2'
'-x+3/4,-y+1/4,z+1/2'
'x+3/4,y+1/4,-z+1/2'
'x+1/2,-y+1/4,-z+3/4'
'-x+1/2,y+1/4,z+3/4'
'-x+3/4,y,-z+3/4'
'x+3/4,-y,z+3/4'
'x+1/2,y+1/2,z'
'-x+1/2,-y+1/2,-z'
'-x+3/4,-y+3/4,z'
'x+3/4,y+3/4,-z'
'x+1/2,-y+3/4,-z+1/4'
'-x+1/2,y+3/4,z+1/4'
'-x+3/4,y+1/2,-z+1/4'
'x+3/4,-y+1/2,z+1/4'
loop_
_atom_site_label
_atom_site_type_symbol
_atom_site_fract_x
_atom_site_fract_y
_atom_site_fract_z
Rb1 Rb 0.125 0.125 0.307
Sc1 Sc 0.125 0.125 0.125
Ge1 Ge 0.125 0.125 0.625
Te1 Te 0.121 0.270 0.820
# DFT total energy	-252.6	eV per cell
# total magnetic moment	0.000	μB/atom
# theoretical density	3.8	g/cm³

# Rb3GeSe4, relaxed, DFT GGA-PBE
data_Rb3GeSe4
_chemical_formula_sum 'Rb12 Ge4 Se16'
_symmetry_space_group_name_H-M 'P n m a'
_symmetry_Int_Tables_number 62
_cell_length_a 9.640
_cell_length_b 11.337
_cell_length_c 10.558
_cell_angle_alpha 90.00
_cell_angle_beta 90.00
_cell_angle_gamma 90.00
loop_
_symmetry_equiv_pos_as_xyz
'x,y,z'
'-x,-y,-z'
'-x+1/2,-y,z+1/2'
'x+1/2,y,-z+1/2'
'x+1/2,-y+1/2,-z+1/2'
'-x+1/2,y+1/2,z+1/2'
'-x,y+1/2,-z'
'x,-y+1/2,z'
loop_
_atom_site_label
_atom_site_type_symbol
_atom_site_fract_x
_atom_site_fract_y
_atom_site_fract_z
Rb1 Rb 0.040 0.045 0.194
Rb2 Rb 0.161 0.750 0.417
Ge1 Ge 0.247 0.250 0.463
Se1 Se 0.044 0.750 0.085
Se2 Se 0.139 0.068 0.534
Se3 Se 0.211 0.750 0.744
# DFT total energy	-112.7	eV per cell
# total magnetic moment	0.121	μB/atom
# theoretical density	3.7	g/cm³